Record 1
# AsPdSBr2, relaxed, DFT GGA-PBE
# **Distance to the lowest polymorph of the same formula**: 216 meV per atom
# **Energy relative to the elements, uncorrected**: 0.800 eV/atom
# **Final energy**: -2.66 eV/atom
# **Total moment**: 0.00 μB per cell
# **Fermi-level density of states**: 4.30 states/eV/cell
# **Volume**: 128.2 Å³/cell
data_AsPdSBr2
_chemical_formula_sum 'As1 Pd1 S1 Br2'
_cell_length_a 5.159
_cell_length_b 5.159
_cell_length_c 4.816
_cell_angle_alpha 90.00
_cell_angle_beta 90.00
_cell_angle_gamma 90.00
_symmetry_space_group_name_H-M 'P 1'
_symmetry_Int_Tables_number 1
_symmetry_space_group_name_Hall 'P 1'
loop_
_atom_site_label
_atom_site_type_symbol
_atom_site_fract_x
_atom_site_fract_y
_atom_site_fract_z
_atom_site_occupancy
S1 S 0.000 0.000 0.000 1
Br1 Br 0.500 0.000 0.000 1
Br2 Br 0.000 0.500 0.000 1
As1 As 0.000 0.000 0.500 1
Pd1 Pd 0.500 0.500 0.500 1

Record 2
# AsPdSBr2, relaxed, DFT GGA-PBE
# **Distance to the lowest polymorph of the same formula**: 0 meV per atom
# **Energy relative to the elements, uncorrected**: 0.584 eV/atom
# **Final energy**: -2.88 eV/atom
# **Total moment**: 0.72 μB per cell
# **Fermi-level density of states**: 3.11 states/eV/cell
# **Volume**: 127.8 Å³/cell
data_AsPdSBr2
_chemical_formula_sum 'As1 Pd1 S1 Br2'
_cell_length_a 5.015
_cell_length_b 5.079
_cell_length_c 5.015
_cell_angle_alpha 90.00
_cell_angle_beta 90.00
_cell_angle_gamma 90.00
_symmetry_space_group_name_H-M 'P 1'
_symmetry_Int_Tables_number 1
_symmetry_space_group_name_Hall 'P 1'
loop_
_atom_site_label
_atom_site_type_symbol
_atom_site_fract_x
_atom_site_fract_y
_atom_site_fract_z
_atom_site_occupancy
Br1 Br 0.500 0.000 0.000 1
S1 S 0.500 0.500 0.500 1
Pd1 Pd 0.000 0.000 0.000 1
As1 As 0.000 0.500 0.000 1
Br2 Br 0.000 0.000 0.500 1

Record 3
# SbAsPdBr2, relaxed, DFT GGA-PBE
# **Distance to the lowest polymorph of the same formula**: 0 meV per atom
# **Energy relative to the elements, uncorrected**: 0.273 eV/atom
# **Final energy**: -3.19 eV/atom
# **Total moment**: 0.00 μB per cell
# **Fermi-level density of states**: 2.78 states/eV/cell
# **Volume**: 128.7 Å³/cell
data_SbAsPdBr2
_chemical_formula_sum 'Sb1 As1 Pd1 Br2'
_cell_length_a 5.022
_cell_length_b 5.022
_cell_length_c 5.102
_cell_angle_alpha 90.00
_cell_angle_beta 90.00
_cell_angle_gamma 90.00
_symmetry_space_group_name_H-M 'P 1'
_symmetry_Int_Tables_number 1
_symmetry_space_group_name_Hall 'P 1'
loop_
_atom_site_label
_atom_site_type_symbol
_atom_site_fract_x
_atom_site_fract_y
_atom_site_fract_z
_atom_site_occupancy
Br1 Br 0.500 0.000 0.000 1
Br2 Br 0.000 0.500 0.000 1
Sb1 Sb 0.500 0.500 0.500 1
As1 As 0.000 0.000 0.500 1
Pd1 Pd 0.000 0.000 0.000 1

Record 4
# ScAs2PdBr, relaxed, DFT GGA-PBE
# **Distance to the lowest polymorph of the same formula**: 146 meV per atom
# **Energy relative to the elements, uncorrected**: 0.229 eV/atom
# **Final energy**: -4.27 eV/atom
# **Total moment**: 0.00 μB per cell
# **Fermi-level density of states**: 5.06 states/eV/cell
# **Volume**: 134.9 Å³/cell
data_ScAs2PdBr
_chemical_formula_sum 'Sc1 As2 Pd1 Br1'
_cell_length_a 5.147
_cell_length_b 5.091
_cell_length_c 5.147
_cell_angle_alpha 90.00
_cell_angle_beta 90.00
_cell_angle_gamma 90.00
_symmetry_space_group_name_H-M 'P 1'
_symmetry_Int_Tables_number 1
_symmetry_space_group_name_Hall 'P 1'
loop_
_atom_site_label
_atom_site_type_symbol
_atom_site_fract_x
_atom_site_fract_y
_atom_site_fract_z
_atom_site_occupancy
As1 As 0.500 0.000 0.000 1
Sc1 Sc 0.000 0.000 0.000 1
As2 As 0.000 0.000 0.500 1
Pd1 Pd 0.500 0.500 0.500 1
Br1 Br 0.000 0.500 0.000 1

Record 5
# ScAs2PdBr, relaxed, DFT GGA-PBE
# **Distance to the lowest polymorph of the same formula**: 0 meV per atom
# **Energy relative to the elements, uncorrected**: 0.083 eV/atom
# **Final energy**: -4.42 eV/atom
# **Total moment**: 0.00 μB per cell
# **Fermi-level density of states**: 2.82 states/eV/cell
# **Volume**: 120.2 Å³/cell
data_ScAs2PdBr
_chemical_formula_sum 'Sc1 As2 Pd1 Br1'
_cell_length_a 4.857
_cell_length_b 4.857
_cell_length_c 5.095
_cell_angle_alpha 90.00
_cell_angle_beta 90.00
_cell_angle_gamma 90.00
_symmetry_space_group_name_H-M 'P 1'
_symmetry_Int_Tables_number 1
_symmetry_space_group_name_Hall 'P 1'
loop_
_atom_site_label
_atom_site_type_symbol
_atom_site_fract_x
_atom_site_fract_y
_atom_site_fract_z
_atom_site_occupancy
As1 As 0.000 0.500 0.000 1
As2 As 0.500 0.000 0.000 1
Br1 Br 0.000 0.000 0.500 1
Pd1 Pd 0.000 0.000 0.000 1
Sc1 Sc 0.500 0.500 0.500 1

Record 6
# SiAs2PdBr, relaxed, DFT GGA-PBE
# **Distance to the lowest polymorph of the same formula**: 20 meV per atom
# **Energy relative to the elements, uncorrected**: 0.749 eV/atom
# **Final energy**: -3.57 eV/atom
# **Total moment**: 1.03 μB per cell
# **Fermi-level density of states**: 5.31 states/eV/cell
# **Volume**: 122.6 Å³/cell
data_SiAs2PdBr
_chemical_formula_sum 'Si1 As2 Pd1 Br1'
_cell_length_a 4.863
_cell_length_b 4.863
_cell_length_c 5.182
_cell_angle_alpha 90.00
_cell_angle_beta 90.00
_cell_angle_gamma 90.00
_symmetry_space_group_name_H-M 'P 1'
_symmetry_Int_Tables_number 1
_symmetry_space_group_name_Hall 'P 1'
loop_
_atom_site_label
_atom_site_type_symbol
_atom_site_fract_x
_atom_site_fract_y
_atom_site_fract_z
_atom_site_occupancy
As1 As 0.500 0.000 0.000 1
Br1 Br 0.000 0.000 0.500 1
Pd1 Pd 0.000 0.000 0.000 1
As2 As 0.000 0.500 0.000 1
Si1 Si 0.500 0.500 0.500 1

Record 7
# SiAsPdBr2, relaxed, DFT GGA-PBE
# **Distance to the lowest polymorph of the same formula**: 24 meV per atom
# **Energy relative to the elements, uncorrected**: 0.584 eV/atom
# **Final energy**: -3.14 eV/atom
# **Total moment**: 0.00 μB per cell
# **Fermi-level density of states**: 5.60 states/eV/cell
# **Volume**: 123.5 Å³/cell
data_SiAsPdBr2
_chemical_formula_sum 'Si1 As1 Pd1 Br2'
_cell_length_a 4.961
_cell_length_b 4.961
_cell_length_c 5.018
_cell_angle_alpha 90.00
_cell_angle_beta 90.00
_cell_angle_gamma 90.00
_symmetry_space_group_name_H-M 'P 1'
_symmetry_Int_Tables_number 1
_symmetry_space_group_name_Hall 'P 1'
loop_
_atom_site_label
_atom_site_type_symbol
_atom_site_fract_x
_atom_site_fract_y
_atom_site_fract_z
_atom_site_occupancy
Pd1 Pd 0.500 0.500 0.500 1
Br1 Br 0.500 0.000 0.000 1
Si1 Si 0.000 0.000 0.000 1
Br2 Br 0.000 0.500 0.000 1
As1 As 0.000 0.000 0.500 1

Record 8
# SiAsPdBr2, relaxed, DFT GGA-PBE
# **Distance to the lowest polymorph of the same formula**: 0 meV per atom
# **Energy relative to the elements, uncorrected**: 0.560 eV/atom
# **Final energy**: -3.16 eV/atom
# **Total moment**: 0.00 μB per cell
# **Fermi-level density of states**: 3.32 states/eV/cell
# **Volume**: 127.6 Å³/cell
data_SiAsPdBr2
_chemical_formula_sum 'Si1 As1 Pd1 Br2'
_cell_length_a 5.071
_cell_length_b 5.071
_cell_length_c 4.963
_cell_angle_alpha 90.00
_cell_angle_beta 90.00
_cell_angle_gamma 90.00
_symmetry_space_group_name_H-M 'P 1'
_symmetry_Int_Tables_number 1
_symmetry_space_group_name_Hall 'P 1'
loop_
_atom_site_label
_atom_site_type_symbol
_atom_site_fract_x
_atom_site_fract_y
_atom_site_fract_z
_atom_site_occupancy
Br1 Br 0.500 0.000 0.000 1
Si1 Si 0.500 0.500 0.500 1
Pd1 Pd 0.000 0.000 0.000 1
As1 As 0.000 0.000 0.500 1
Br2 Br 0.000 0.500 0.000 1

> Which value of Fermi-level density of states does entry 5 give?

2.82 states/eV/cell

What did the third record say?
# SbAsPdBr2, relaxed, DFT GGA-PBE
# **Distance to the lowest polymorph of the same formula**: 0 meV per atom
# **Energy relative to the elements, uncorrected**: 0.273 eV/atom
# **Final energy**: -3.19 eV/atom
# **Total moment**: 0.00 μB per cell
# **Fermi-level density of states**: 2.78 states/eV/cell
# **Volume**: 128.7 Å³/cell
data_SbAsPdBr2
_chemical_formula_sum 'Sb1 As1 Pd1 Br2'
_cell_length_a 5.022
_cell_length_b 5.022
_cell_length_c 5.102
_cell_angle_alpha 90.00
_cell_angle_beta 90.00
_cell_angle_gamma 90.00
_symmetry_space_group_name_H-M 'P 1'
_symmetry_Int_Tables_number 1
_symmetry_space_group_name_Hall 'P 1'
loop_
_atom_site_label
_atom_site_type_symbol
_atom_site_fract_x
_atom_site_fract_y
_atom_site_fract_z
_atom_site_occupancy
Br1 Br 0.500 0.000 0.000 1
Br2 Br 0.000 0.500 0.000 1
Sb1 Sb 0.500 0.500 0.500 1
As1 As 0.000 0.000 0.500 1
Pd1 Pd 0.000 0.000 0.000 1

> Which formula does entry 1 have?

AsPdSBr2